1.
LiHgSb2 | GGA-PBE | optimized geometry

Computed properties:
SG: I4/mmm, No. 139

Lattice parameters (Å, degrees): 5.907 5.907 5.907 135.64 135.64 64.54
Atoms (fractional coordinates):
Li1 0.750 0.250 0.500
Sb1 0.000 0.000 0.000
Sb2 0.500 0.500 0.000
Hg1 0.250 0.750 0.500

=====

2.
SrCdF | GGA-PBE | optimized geometry

Computed properties:
Energy relative to the lowest polymorph listed for this composition: 264 meV per atom
SG: P-6m2, No. 187

Lattice parameters (Å, degrees): 4.146 4.146 5.880 90.00 90.00 120.00
Atoms (fractional coordinates):
Cd1 0.333 0.667 0.500
Sr1 0.000 0.000 0.000
F1 0.667 0.333 0.000

=====

3.
TbTcS | GGA-PBE | optimized geometry

Computed properties:
SG: P4/nmm, No. 129

Lattice parameters (Å, degrees): 3.653 3.653 8.666 90.00 90.00 90.00
Atoms (fractional coordinates):
Tb1 0.500 0.000 0.292
Tc1 0.000 0.500 0.065
S1 0.500 0.000 0.642
S2 0.000 0.500 0.358
Tc2 0.500 0.000 0.935
Tb2 0.000 0.500 0.708

=====

Taking the records one at a time from the top gives energy relative to the elements, uncorrected values of -0.107 -1.792 -0.877 eV per atom.
Taking the records one at a time from the top gives density of states at the Fermi level values of 0.370 0.631 0.916 states/eV/atom.